Compound: FeCo2Ge
Source: the Alexandria database
Functional: PBE
Structure: optimized geometry

a b c (Å): 4.0096 4.0096 2.9467
angles (deg): 90.00 90.00 90.00
Fractional positions:
Fe  0.0000  0.0000  0.0000
Co  0.0000  0.5000  0.5000
Co  0.5000  0.0000  0.5000
Ge  0.5000  0.5000  0.0000

Values from the calculation:
- Calculated formation energy: -0.122 eV/atom
- Magnetization: 5.46 μB/f.u.
- VASP energy: -0.2552 Ha/atom
- Mass density: 8.63 g/cm³

=====

Compound: FeCoGe6
Source: the Alexandria database
Functional: PBE
Structure: optimized geometry

a b c (Å): 4.0267 6.2012 6.2070
angles (deg): 99.23 108.73 108.83
Fractional positions:
Fe  0.0000  0.0000  0.0000
Co  0.0000  0.5000  0.5000
Ge  0.0051  0.2533  0.7521
Ge  0.3336  0.7485  0.9178
Ge  0.3347  0.2416  0.4241
Ge  0.6653  0.7584  0.5759
Ge  0.6664  0.2515  0.0822
Ge  0.9949  0.7467  0.2479

Values from the calculation:
- Calculated formation energy: 0.022 eV/atom
- Magnetization: 0.00 μB/f.u.
- VASP energy: -0.1980 Ha/atom
- Mass density: 6.89 g/cm³

=====

Compound: FeCoGe3
Source: the Alexandria database
Functional: PBE
Structure: optimized geometry

a b c (Å): 4.5309 4.5309 4.5309
angles (deg): 90.00 90.00 90.00
Fractional positions:
Fe  0.0000  0.0000  0.0000
Co  0.5000  0.5000  0.5000
Ge  0.0000  0.5000  0.5000
Ge  0.5000  0.0000  0.5000
Ge  0.5000  0.5000  0.0000

Values from the calculation:
- Offset from the most stable computed form: 0 meV per atom
- Calculated formation energy: 0.618 eV/atom
- Magnetization: 2.34 μB/f.u.
- VASP energy: -0.1935 Ha/atom
- Mass density: 5.94 g/cm³

=====

Compound: FeCo3Ge
Source: the Alexandria database
Functional: PBE
Structure: optimized geometry

a b c (Å): 4.2662 4.2662 4.2662
angles (deg): 90.00 90.00 90.00
Fractional positions:
Fe  0.0000  0.0000  0.0000
Co  0.0000  0.5000  0.5000
Co  0.5000  0.0000  0.5000
Co  0.5000  0.5000  0.0000
Ge  0.5000  0.5000  0.5000

Values from the calculation:
- Offset from the most stable computed form: 1073 meV per atom
- Calculated formation energy: 0.970 eV/atom
- Magnetization: 7.18 μB/f.u.
- VASP energy: -0.2172 Ha/atom
- Mass density: 6.53 g/cm³